Computed, not measured: a geometry-optimized Sc6HgAu5 structure at the PBE level of DFT.

POSCAR file:
```
Sc6HgAu5
1.0
-2.139 -1.410 -4.133
-3.502 -4.712 3.420
-6.410 4.114 -0.896
Sc Au Hg
6 5 1
direct
0.830 0.748 0.340 Sc
0.830 0.252 0.340 Sc
0.500 0.258 0.000 Sc
0.500 0.742 0.000 Sc
0.170 0.748 0.660 Sc
0.170 0.252 0.660 Sc
0.668 0.500 0.666 Au
0.339 0.000 0.321 Au
0.000 0.500 0.000 Au
0.661 0.000 0.679 Au
0.332 0.500 0.334 Au
0.000 0.000 0.000 Hg
```

## Properties
Total energy = -5.296 eV/atom
ΔH_f (0 K) = -71.3 kJ per mole of atoms
Fermi-level density of states = 7.96 states/eV per cell

Computed, not measured: a geometry-optimized Sc4HgAu structure at the PBE level of DFT.

POSCAR file:
```
Sc4HgAu
1.0
-1.609 -4.793 -2.675
-4.569 -2.906 1.841
-4.796 -0.064 -3.117
Sc Hg Au
4 1 1
direct
0.875 0.375 0.375 Sc
0.375 0.375 0.875 Sc
0.375 0.875 0.375 Sc
0.375 0.375 0.375 Sc
0.000 0.000 0.000 Hg
0.750 0.750 0.750 Au
```

## Properties
Total energy = -4.680 eV/atom
ΔH_f (0 K) = 13.3 kJ per mole of atoms
Fermi-level density of states = 6.58 states/eV per cell

Computed, not measured: a geometry-optimized Sc4Hg3Au structure at the PBE level of DFT.

POSCAR file:
```
Sc4Hg3Au
1.0
-3.113 0.552 -1.487
-1.521 -1.971 2.452
-1.806 11.320 7.980
Sc Au Hg
4 1 3
direct
0.000 0.000 0.883 Sc
0.000 0.000 0.117 Sc
0.000 0.000 0.372 Sc
0.000 0.000 0.628 Sc
0.500 0.500 0.000 Au
0.500 0.500 0.247 Hg
0.500 0.500 0.500 Hg
0.500 0.500 0.753 Hg
```

## Properties
Total energy = -4.212 eV/atom
ΔH_f (0 K) = -50.5 kJ per mole of atoms
Fermi-level density of states = 6.24 states/eV per cell

Computed, not measured: a geometry-optimized Sc2HgAu structure at the PBE level of DFT.

POSCAR file:
```
Sc2HgAu
1.0
-2.662 4.210 6.966
-4.831 1.402 6.932
-1.586 1.121 8.341
Au Hg Sc
1 1 2
direct
0.250 0.250 0.250 Au
0.750 0.750 0.750 Hg
0.994 0.994 0.994 Sc
0.506 0.506 0.506 Sc
```

## Properties
Total energy = -4.499 eV/atom
ΔH_f (0 K) = -42.3 kJ per mole of atoms
Fermi-level density of states = 2.79 states/eV per cell

Computed, not measured: a geometry-optimized Sc2HgAu structure at the PBE level of DFT.

POSCAR file:
```
Sc2HgAu
1.0
7.506 0.000 0.000
0.000 7.506 0.000
3.753 3.753 3.359
Sc Au Hg
4 2 2
direct
0.606 0.125 0.250 Sc
0.144 0.625 0.250 Sc
0.375 0.394 0.750 Sc
0.875 0.856 0.750 Sc
0.500 0.500 0.000 Au
0.250 0.750 0.500 Au
0.000 0.000 0.000 Hg
0.750 0.250 0.500 Hg
```

## Properties
Total energy = -4.295 eV/atom
ΔH_f (0 K) = -22.6 kJ per mole of atoms
Fermi-level density of states = 14.97 states/eV per cell

Computed, not measured: a geometry-optimized Sc4HgAu2 structure at the PBE level of DFT.

POSCAR file:
```
Sc4HgAu2
1.0
-2.207 4.423 -1.656
-4.659 -1.738 1.568
4.341 1.160 5.517
Sc Hg Au
4 1 2
direct
0.750 0.250 0.500 Sc
0.250 0.750 0.500 Sc
0.500 0.000 0.000 Sc
0.000 0.500 0.000 Sc
0.000 0.000 0.000 Hg
0.634 0.634 0.268 Au
0.366 0.366 0.732 Au
```

## Properties
Total energy = -4.781 eV/atom
ΔH_f (0 K) = -17.7 kJ per mole of atoms
Fermi-level density of states = 5.99 states/eV per cell

Computed, not measured: a geometry-optimized ScHgAu structure at the PBE level of DFT.

POSCAR file:
```
ScHgAu
1.0
-3.395 -0.353 -0.916
1.947 -2.864 0.705
-1.660 0.352 6.016
Au Hg Sc
1 1 1
direct
0.000 0.000 0.980 Au
0.667 0.333 0.335 Hg
0.333 0.667 0.685 Sc
```

## Properties
Total energy = -3.656 eV/atom
ΔH_f (0 K) = -34.0 kJ per mole of atoms
Fermi-level density of states = 2.79 states/eV per cell

Computed, not measured: a geometry-optimized Sc2HgAu structure at the PBE level of DFT.

POSCAR file:
```
Sc2HgAu
1.0
-4.439 -3.345 0.094
-0.309 -3.722 -4.118
3.874 1.589 3.657
Au Hg Sc
1 1 2
direct
0.500 0.500 0.000 Au
0.750 0.250 0.500 Hg
0.000 0.000 0.000 Sc
0.250 0.750 0.500 Sc
```

## Properties
Total energy = -4.496 eV/atom
ΔH_f (0 K) = -42.0 kJ per mole of atoms
Fermi-level density of states = 4.02 states/eV per cell

Computed, not measured: a geometry-optimized ScHg2Au structure at the PBE level of DFT.

POSCAR file:
```
ScHg2Au
1.0
6.080 -0.021 0.056
-3.158 5.196 0.056
0.871 1.543 2.857
Au Hg Sc
1 2 1
direct
0.000 0.500 0.500 Au
0.000 0.000 0.000 Hg
0.500 0.500 0.000 Hg
0.500 0.000 0.500 Sc
```

## Properties
Total energy = -2.707 eV/atom
ΔH_f (0 K) = -14.9 kJ per mole of atoms
Fermi-level density of states = 2.39 states/eV per cell

Computed, not measured: a geometry-optimized ScHgAu structure at the PBE level of DFT.

POSCAR file:
```
ScHgAu
1.0
-2.123 -2.809 -3.022
2.182 -3.776 -1.586
-1.394 -4.219 1.338
Au Hg Sc
1 1 1
direct
0.250 0.250 0.250 Au
0.000 0.000 0.000 Hg
0.500 0.500 0.500 Sc
```

## Properties
Total energy = -3.673 eV/atom
ΔH_f (0 K) = -35.6 kJ per mole of atoms
Fermi-level density of states = 3.80 states/eV per cell

Computed, not measured: a geometry-optimized Sc11Hg9Au4 structure at the PBE level of DFT.

POSCAR file:
```
Sc11Hg9Au4
1.0
-0.123 0.744 -3.364
-1.391 -12.307 -2.671
-11.088 5.890 1.707
Sc Hg Au
11 9 4
direct
0.000 0.587 0.931 Sc
0.000 0.413 0.069 Sc
0.000 0.931 0.587 Sc
0.000 0.069 0.413 Sc
0.000 0.639 0.361 Sc
0.000 0.361 0.639 Sc
0.000 0.836 0.164 Sc
0.000 0.164 0.836 Sc
0.000 0.000 0.000 Sc
0.000 0.715 0.715 Sc
0.000 0.285 0.285 Sc
0.500 0.633 0.148 Hg
0.500 0.367 0.852 Hg
0.500 0.148 0.633 Hg
0.500 0.852 0.367 Hg
0.500 0.791 0.943 Hg
0.500 0.209 0.057 Hg
0.500 0.943 0.791 Hg
0.500 0.057 0.209 Hg
0.500 0.500 0.500 Hg
0.500 0.551 0.749 Au
0.500 0.449 0.251 Au
0.500 0.749 0.551 Au
0.500 0.251 0.449 Au
```

## Properties
Total energy = -4.095 eV/atom
ΔH_f (0 K) = -51.5 kJ per mole of atoms
Fermi-level density of states = 18.00 states/eV per cell

Computed, not measured: a geometry-optimized ScHg2Au structure at the PBE level of DFT.

POSCAR file:
```
ScHg2Au
1.0
-2.963 3.988 -0.401
-4.210 -2.544 -0.802
3.017 -0.815 3.883
Sc Au Hg
1 1 2
direct
0.500 0.500 0.000 Sc
0.750 0.250 0.500 Au
0.000 0.000 0.000 Hg
0.250 0.750 0.500 Hg
```

## Properties
Total energy = -2.888 eV/atom
ΔH_f (0 K) = -32.3 kJ per mole of atoms
Fermi-level density of states = 1.70 states/eV per cell

Computed, not measured: a geometry-optimized Sc2HgAu structure at the PBE level of DFT.

POSCAR file:
```
Sc2HgAu
1.0
3.685 0.000 0.000
1.842 3.191 0.000
1.842 1.064 7.856
Sc Hg Au
2 1 1
direct
0.077 0.077 0.770 Sc
0.257 0.257 0.228 Sc
0.500 0.500 0.501 Hg
0.666 0.666 0.002 Au
```

## Properties
Total energy = -4.476 eV/atom
ΔH_f (0 K) = -40.1 kJ per mole of atoms
Fermi-level density of states = 1.89 states/eV per cell

Computed, not measured: a geometry-optimized Sc8HgAu2 structure at the PBE level of DFT.

POSCAR file:
```
Sc8HgAu2
1.0
4.423 0.000 -1.346
-1.111 6.422 -3.650
0.109 0.386 8.297
Sc Hg Au
8 1 2
direct
0.662 0.878 0.324 Sc
0.338 0.554 0.676 Sc
0.142 0.142 0.284 Sc
0.000 0.309 0.000 Sc
0.858 0.858 0.716 Sc
0.662 0.446 0.324 Sc
0.338 0.122 0.676 Sc
0.000 0.691 0.000 Sc
0.500 0.000 0.000 Hg
0.198 0.698 0.396 Au
0.802 0.302 0.604 Au
```

## Properties
Total energy = -5.551 eV/atom
ΔH_f (0 K) = -31.2 kJ per mole of atoms
Fermi-level density of states = 10.88 states/eV per cell

Computed, not measured: a geometry-optimized Sc4HgAu structure at the PBE level of DFT.

POSCAR file:
```
Sc4HgAu
1.0
-2.075 4.204 -0.434
-1.613 -0.341 4.410
5.588 2.995 2.276
Sc Hg Au
4 1 1
direct
0.501 0.997 0.257 Sc
0.501 0.997 0.739 Sc
0.001 0.497 0.739 Sc
0.001 0.497 0.257 Sc
0.501 0.497 0.998 Hg
0.001 0.997 0.498 Au
```

## Properties
Total energy = -5.065 eV/atom
ΔH_f (0 K) = -23.8 kJ per mole of atoms
Fermi-level density of states = 6.46 states/eV per cell

Computed, not measured: a geometry-optimized ScHgAu structure at the PBE level of DFT.

POSCAR file:
```
ScHgAu
1.0
-1.805 4.623 1.026
1.603 -2.988 3.766
5.401 2.227 -0.532
Sc Hg Au
2 2 2
direct
0.667 0.333 0.843 Sc
0.333 0.667 0.343 Sc
0.000 0.000 0.843 Hg
0.000 0.000 0.343 Hg
0.667 0.333 0.343 Au
0.333 0.667 0.843 Au
```

## Properties
Total energy = -3.727 eV/atom
ΔH_f (0 K) = -40.9 kJ per mole of atoms
Fermi-level density of states = 3.22 states/eV per cell

Computed, not measured: a geometry-optimized ScHg2Au structure at the PBE level of DFT.

POSCAR file:
```
ScHg2Au
1.0
-3.522 5.880 5.299
-5.920 3.313 5.389
-3.087 3.144 7.460
Au Hg Sc
1 2 1
direct
0.750 0.750 0.750 Au
0.002 0.002 0.002 Hg
0.498 0.498 0.498 Hg
0.250 0.250 0.250 Sc
```

## Properties
Total energy = -2.704 eV/atom
ΔH_f (0 K) = -14.5 kJ per mole of atoms
Fermi-level density of states = 2.84 states/eV per cell

Computed, not measured: a geometry-optimized ScHg2Au structure at the PBE level of DFT.

POSCAR file:
```
ScHg2Au
1.0
3.600 0.000 0.000
0.000 3.489 0.057
0.000 3.261 6.868
Sc Au Hg
1 1 2
direct
0.000 0.477 0.523 Sc
0.500 0.780 0.727 Au
0.000 0.013 0.988 Hg
0.500 0.231 0.263 Hg
```

## Properties
Total energy = -2.888 eV/atom
ΔH_f (0 K) = -32.3 kJ per mole of atoms
Fermi-level density of states = 1.52 states/eV per cell

Computed, not measured: a geometry-optimized ScHg2Au structure at the PBE level of DFT.

POSCAR file:
```
ScHg2Au
1.0
-2.677 2.636 -2.044
0.850 -1.999 -3.691
-2.636 -4.925 -2.899
Au Hg Sc
1 2 1
direct
0.000 0.000 0.500 Au
0.000 0.000 0.000 Hg
0.500 0.500 0.000 Hg
0.500 0.500 0.500 Sc
```

## Properties
Total energy = -2.848 eV/atom
ΔH_f (0 K) = -28.5 kJ per mole of atoms
Fermi-level density of states = 2.76 states/eV per cell

Computed, not measured: a geometry-optimized ScSnHgAu structure at the PBE level of DFT.

POSCAR file:
```
ScSnHgAu
1.0
4.961 0.000 0.000
2.481 4.296 0.000
2.481 1.432 4.051
Sc Au Hg Sn
1 1 1 1
direct
0.750 0.750 0.750 Sc
0.500 0.500 0.500 Au
0.000 0.000 0.000 Hg
0.250 0.250 0.250 Sn
```

## Properties
Total energy = -3.836 eV/atom
ΔH_f (0 K) = -34.5 kJ per mole of atoms
Fermi-level density of states = 1.71 states/eV per cell